#w
Material: CdInGa2Pt
Method: DFT, PBE
State: relaxed

```
CdInGa2Pt
1.0
-0.900 0.060 -4.754
0.523 -4.808 -0.160
-5.269 -0.606 0.990
Cd Ga Pt In
1 2 1 1
Direct
0.500 0.500 0.500 Cd
0.500 0.000 0.000 Ga
0.000 0.500 0.000 Ga
0.000 0.000 0.000 Pt
0.000 0.000 0.500 In
```

- total magnetic moment (μB per formula unit) = 0.00
- ρ (g cm⁻³) = 7.384
- crystal system = tetragonal

---

#x
Material: CdInGa2Pt
Method: DFT, PBE
State: relaxed

```
CdInGa2Pt
1.0
-1.305 1.991 -4.223
-4.606 -1.262 0.828
-0.839 4.680 2.465
Pt Ga In Cd
1 2 1 1
Direct
0.000 0.000 0.000 Pt
0.000 0.500 0.000 Ga
0.500 0.000 0.000 Ga
0.500 0.500 0.500 In
0.000 0.000 0.500 Cd
```

- total magnetic moment (μB per formula unit) = 0.00
- ρ (g cm⁻³) = 7.413
- crystal system = tetragonal

---

#x is the most stable structure; the next one sits 8 meV/atom above it.